Computed, not measured: a geometry-optimized LiV2O5 structure at the PBE+U level of DFT.

The energy above the lowest structure with this stoichiometry comes out at 0.46 eV/f.u.

It has space group C2/m (No. 12), with a = 9.6501 Å, b = 3.6861 Å, c = 10.1799 Å, α = 90.00°, β = 91.34° and γ = 90.00°. The inequivalent atoms are Li at (0.1835, 0.0000, 0.2596), V at (0.1357, 0.0000, 0.5632), V at (0.1388, 0.0000, 0.9161), O at (0.0329, 0.0000, 0.1192), O at (0.0364, 0.0000, 0.3869), O at (0.1784, 0.5000, 0.9565), O at (0.1964, 0.5000, 0.5617) and O at (0.2111, 0.0000, 0.7603).


Computed, not measured: a geometry-optimized Cr2Ag2O7 structure at the PBE+U level of DFT.

The energy above the lowest structure with this stoichiometry comes out at 0.01 eV/f.u.

It has space group C2/m (No. 12), with a = 7.5282 Å, b = 9.2629 Å, c = 5.0275 Å, α = 90.00°, β = 104.96° and γ = 90.00°. The inequivalent atoms are Cr at (0.2106, 0.0000, 0.4094), Ag at (0.0000, 0.3075, 0.0000), O at (0.0000, 0.0000, 0.5000), O at (0.1216, 0.5000, 0.3022) and O at (0.2215, 0.1459, 0.2254).